[1]
# Ce2Dy3Er8

A relaxed structure of Ce2Dy3Er8 (PBE, the Alexandria database).

```
Ce2Dy3Er8
1.0
-5.301 -1.793 -3.792
1.095 -7.027 -6.134
-3.791 -8.481 1.384
Dy Ce Er
3 2 8
Direct
0.000 0.826 0.174
0.000 0.174 0.826
0.500 0.000 0.000
0.482 0.216 0.216
0.518 0.784 0.784
0.936 0.418 0.418
0.993 0.809 0.809
0.560 0.564 0.199
0.007 0.191 0.191
0.440 0.436 0.801
0.560 0.199 0.564
0.064 0.582 0.582
0.440 0.801 0.436
```

Computed properties:
Formation energy from the elements: 0.28 eV/atom

***

[2]
# CeDy8Er5

A relaxed structure of CeDy8Er5 (PBE, the Alexandria database).

```
CeDy8Er5
1.0
8.015 0.000 -2.434
-4.152 6.642 -2.969
0.288 0.000 8.371
Er Dy Ce
5 8 1
Direct
0.282 0.096 0.961
0.500 0.000 0.500
0.864 0.904 0.186
0.039 0.321 0.136
0.814 0.679 0.718
0.531 0.606 0.281
0.570 0.908 0.833
0.719 0.251 0.326
0.925 0.092 0.662
0.674 0.394 0.925
0.338 0.263 0.430
0.075 0.749 0.469
0.167 0.737 0.075
0.250 0.500 0.750
```

Computed properties:
Formation energy from the elements: 0.27 eV/atom

***

[3]
# CeDyEr6

A relaxed structure of CeDyEr6 (PBE, the Alexandria database).

```
CeDyEr6
1.0
-6.005 1.767 1.070
-1.482 -6.172 -0.201
9.222 4.412 5.266
Ce Er Dy
1 6 1
Direct
0.500 0.500 0.500
0.694 0.056 0.209
0.650 0.650 0.302
0.306 0.944 0.791
0.056 0.694 0.209
0.944 0.306 0.791
0.350 0.350 0.698
0.000 0.000 0.000
```

Computed properties:
Formation energy from the elements: 0.17 eV/atom

***

[4]
# Ce2DyEr7

A relaxed structure of Ce2DyEr7 (PBE, the Alexandria database).

```
Ce2DyEr7
1.0
5.839 -0.033 -1.713
1.199 8.612 -3.261
-3.183 -0.419 7.158
Dy Er Ce
1 7 2
Direct
0.000 0.000 0.000
0.798 0.599 0.799
0.202 0.401 0.201
0.098 0.701 0.597
0.297 0.100 0.795
0.500 0.500 0.000
0.703 0.900 0.205
0.902 0.299 0.403
0.598 0.197 0.600
0.402 0.803 0.400
```

Computed properties:
Formation energy from the elements: 0.06 eV/atom